No. 1
A plane-wave DFT calculation with PBE-GGA was carried out for crystalline Ca2Pm3Hg3 at its relaxed geometry.

Output
Calculated volume ... 30.38 A^3/atom
Total energy ... -2.718 eV per atom
ΔE_f ... -0.323 eV/atom
Density ... 7.632 g cm⁻³

Structure (POSCAR):
```
Ca2Pm3Hg3
1.0
3.798 0.000 0.000
0.000 5.514 0.000
-1.899 -2.757 11.605
Pm Hg Ca
3 3 2
direct
0.500 0.000 0.000
0.615 0.615 0.231
0.385 0.385 0.769
0.000 0.500 0.000
0.114 0.114 0.229
0.886 0.886 0.771
0.724 0.224 0.449
0.276 0.776 0.551
```


No. 2
A plane-wave DFT calculation with PBE-GGA was carried out for crystalline CaPm5Hg6 at its relaxed geometry.

Output
Calculated volume ... 27.60 A^3/atom
Total energy ... -2.791 eV per atom
ΔE_f ... -0.494 eV/atom
Density ... 9.871 g cm⁻³

Structure (POSCAR):
```
CaPm5Hg6
1.0
5.102 -0.030 1.700
0.041 7.644 0.014
0.004 -0.015 8.493
Hg Pm Ca
6 5 1
direct
0.500 0.749 0.000
0.167 0.248 0.666
0.500 0.251 0.000
0.167 0.752 0.666
0.833 0.752 0.334
0.833 0.248 0.334
0.000 0.500 0.000
0.336 0.000 0.328
0.664 0.000 0.672
0.667 0.500 0.665
0.333 0.500 0.335
0.000 0.000 0.000
```


No. 3
A plane-wave DFT calculation with PBE-GGA was carried out for crystalline CaPm3Hg2 at its relaxed geometry.

Output
Energy above the most stable polymorph in this dataset ... 214 meV per atom
Calculated volume ... 34.74 A^3/atom
Total energy ... -2.946 eV per atom
ΔE_f ... -0.137 eV/atom
Density ... 6.981 g cm⁻³

Structure (POSCAR):
```
CaPm3Hg2
1.0
-7.053 1.656 -0.393
-1.646 -7.364 -1.487
3.633 1.537 8.259
Pm Ca Hg
6 2 4
direct
0.500 0.250 0.000
0.500 0.750 0.000
0.232 0.482 0.464
0.768 0.018 0.536
0.232 0.982 0.464
0.768 0.518 0.536
0.000 0.500 0.000
0.000 0.000 0.000
0.561 0.361 0.722
0.439 0.639 0.278
0.839 0.139 0.278
0.161 0.861 0.722
```


No. 4
A plane-wave DFT calculation with PBE-GGA was carried out for crystalline Ca2PmHg2 at its relaxed geometry.

Output
Calculated volume ... 31.10 A^3/atom
Total energy ... -2.257 eV per atom
ΔE_f ... -0.385 eV/atom
Density ... 6.689 g cm⁻³

Structure (POSCAR):
```
Ca2PmHg2
1.0
3.706 0.000 0.000
0.000 3.752 0.711
0.000 -0.169 11.149
Pm Hg Ca
1 2 2
direct
0.000 0.000 0.000
0.500 0.589 0.821
0.500 0.411 0.179
0.000 0.828 0.345
0.000 0.172 0.655
```